# 1
Computed, not measured: a geometry-optimized YRhSe2N structure at the GGA-PBE level of DFT.

Cell and atoms, written as CIF:
```
data_YRhSe2N
_cell_length_a 5.132
_cell_length_b 5.132
_cell_length_c 3.721
_cell_angle_alpha 90.00
_cell_angle_beta 90.00
_cell_angle_gamma 90.00
_space_group_name_H-M_alt 'P 4/m m m'
_space_group_IT_number 123
_space_group_name_Hall '-P 4 2'
loop_
_atom_site_label
_atom_site_fract_x
_atom_site_fract_y
_atom_site_fract_z
Y1 0.000 0.000 0.000
Rh1 0.500 0.500 0.500
Se1 0.000 0.500 0.500
N1 0.500 0.500 0.000
```

- E_form (uncorrected): -41 kJ/mol of atoms
- Final energy: -6.248 eV/atom
- Density of states at the Fermi level: 1.96 states/eV per cell
- Energy relative to the lowest polymorph listed for this composition: 0.00 eV per formula unit

# 2
Computed, not measured: a geometry-optimized CaYTa2Cr structure at the GGA-PBE level of DFT.

Cell and atoms, written as CIF:
```
data_CaYTa2Cr
_cell_length_a 4.730
_cell_length_b 4.730
_cell_length_c 5.396
_cell_angle_alpha 90.00
_cell_angle_beta 90.00
_cell_angle_gamma 90.00
_space_group_name_H-M_alt 'P 4/m m m'
_space_group_IT_number 123
_space_group_name_Hall '-P 4 2'
loop_
_atom_site_label
_atom_site_fract_x
_atom_site_fract_y
_atom_site_fract_z
Ca1 0.000 0.000 0.000
Y1 0.500 0.500 0.000
Ta1 0.000 0.500 0.500
Cr1 0.500 0.500 0.500
```

- Final energy: -7.614 eV/atom
- Density of states at the Fermi level: 7.97 states/eV per cell
- Energy of formation: 0.74 eV per atom

# 3
Computed, not measured: a geometry-optimized Cs2GaMoBr6 structure at the GGA-PBE level of DFT.

Cell and atoms, written as CIF:
```
data_Cs2GaMoBr6
_cell_length_a 11.286
_cell_length_b 11.286
_cell_length_c 11.286
_cell_angle_alpha 90.00
_cell_angle_beta 90.00
_cell_angle_gamma 90.00
_space_group_name_H-M_alt 'F m -3 m'
_space_group_IT_number 225
_space_group_name_Hall '-F 4 2 3'
loop_
_atom_site_label
_atom_site_fract_x
_atom_site_fract_y
_atom_site_fract_z
Cs1 0.250 0.250 0.250
Ga1 0.000 0.000 0.000
Mo1 0.000 0.000 0.500
Br1 0.000 0.000 0.267
```

- E_form (uncorrected): -103 kJ/mol of atoms
- Final energy: -3.625 eV/atom
- Density of states at the Fermi level: 0.00 states/eV per cell

# 4
Computed, not measured: a geometry-optimized Na3AcNd2Te6 structure at the GGA-PBE level of DFT.

Cell and atoms, written as CIF:
```
data_Na3AcNd2Te6
_cell_length_a 8.022
_cell_length_b 13.896
_cell_length_c 8.020
_cell_angle_alpha 90.00
_cell_angle_beta 109.52
_cell_angle_gamma 90.00
_space_group_name_H-M_alt 'C 1 2/m 1'
_space_group_IT_number 12
loop_
_space_group_symop_operation_xyz
'x,y,z'
'-x,-y,-z'
'-x,y,-z'
'x,-y,z'
'x+1/2,y+1/2,z'
'-x+1/2,-y+1/2,-z'
'-x+1/2,y+1/2,-z'
'x+1/2,-y+1/2,z'
loop_
_atom_site_label
_atom_site_fract_x
_atom_site_fract_y
_atom_site_fract_z
Na1 0.000 0.000 0.000
Na2 0.000 0.336 0.000
Ac1 0.000 0.500 0.500
Nd1 0.000 0.167 0.500
Te1 0.237 0.000 0.743
Te2 0.247 0.172 0.258
```

- E_form (uncorrected): -130 kJ/mol of atoms
- Final energy: -4.385 eV/atom
- Density of states at the Fermi level: 0.00 states/eV per cell

# 5
Computed, not measured: a geometry-optimized VCrBi2N structure at the GGA-PBE level of DFT.

Cell and atoms, written as CIF:
```
data_VCrBi2N
_cell_length_a 5.513
_cell_length_b 5.513
_cell_length_c 3.587
_cell_angle_alpha 90.00
_cell_angle_beta 90.00
_cell_angle_gamma 90.00
_space_group_name_H-M_alt 'P 4/m m m'
_space_group_IT_number 123
_space_group_name_Hall '-P 4 2'
loop_
_atom_site_label
_atom_site_fract_x
_atom_site_fract_y
_atom_site_fract_z
V1 0.000 0.000 0.000
Cr1 0.500 0.500 0.500
Bi1 0.000 0.500 0.000
N1 0.000 0.000 0.500
```

- E_form (uncorrected): 85 kJ/mol of atoms
- Final energy: -6.089 eV/atom
- Density of states at the Fermi level: 5.62 states/eV per cell